Crystalline GaCoIO6 at its relaxed geometry, computed with PBE with a Hubbard U.

Its crystal system is trigonal. As for the total energy: -5.2400 eV per atom.

It has space group P-31c (No. 163), with a = 5.0858 Å, b = 5.0858 Å, c = 9.0717 Å, α = 90.00°, β = 90.00° and γ = 120.00°. The inequivalent atoms are Ga at (0.3333, 0.6667, 0.2500), Co at (0.0000, 0.0000, 0.0000), I at (0.3333, 0.6667, 0.7500) and O at (0.0132, 0.3610, 0.6331).